[1]
Entry from Alexandria: crystalline PaCl4 at its relaxed geometry (PBEsol).

- formation energy without anion corrections (eV/f.u.) = -9.1
- total moment (μB per atom) = 0.201
- calculated total energy (eV per atom) = -5.467

abc: 8.2832 8.2832 7.4638
angles: 90.00 90.00 90.00
Space group I4_1/amd (No. 141, origin choice 2)
Unique sites:
Pa 0.0000 0.2500 0.3750 (multiplicity 4)
Cl 0.0000 0.0642 0.6976 (multiplicity 16)

***

[2]
Entry from Alexandria: crystalline PaCl5 at its relaxed geometry (PBEsol).

- formation energy without anion corrections (eV/f.u.) = -10.8
- total moment (μB per atom) = 0.000
- calculated total energy (eV per atom) = -5.181

abc: 8.2345 11.7012 8.3396
angles: 90.00 106.20 90.00
Space group C2/c (No. 15)
Unique sites:
Pa 0.0000 0.0685 0.2500 (multiplicity 4)
Cl 0.0000 0.2813 0.2500 (multiplicity 4)
Cl 0.0006 0.1261 0.5649 (multiplicity 8)
Cl 0.1880 0.4400 0.6639 (multiplicity 8)

***

[3]
Entry from Alexandria: crystalline Pb3Cl at its relaxed geometry (PBEsol).

- formation energy without anion corrections (eV/f.u.) = -0.9
- total moment (μB per atom) = 0.000
- calculated total energy (eV per atom) = -3.723

abc: 7.5605 7.5605 7.5605
angles: 90.00 90.00 90.00
Space group Fm-3m (No. 225)
Unique sites:
Pb 0.0000 0.0000 0.0000 (multiplicity 4)
Pb 0.2500 0.2500 0.2500 (multiplicity 8)
Cl 0.0000 0.0000 0.5000 (multiplicity 4)

***

[4]
Entry from Alexandria: crystalline PbCl3 at its relaxed geometry (PBEsol).

- formation energy without anion corrections (eV/f.u.) = -2.2
- total moment (μB per atom) = 0.219
- calculated total energy (eV per atom) = -3.068

abc: 3.7872 4.7778 10.7131
angles: 90.00 90.00 90.00
Space group Immm (No. 71)
Unique sites:
Pb 0.0000 0.0000 0.0000 (multiplicity 2)
Cl 0.0000 0.0000 0.5000 (multiplicity 2)
Cl 0.0000 0.5000 0.2952 (multiplicity 4)

***

[5]
Entry from Alexandria: crystalline PbCl3 at its relaxed geometry (PBEsol).

- formation energy without anion corrections (eV/f.u.) = -2.8
- total moment (μB per atom) = 0.000
- calculated total energy (eV per atom) = -3.195

abc: 5.2929 5.2929 5.2929
angles: 90.00 90.00 90.00
Space group Pm-3m (No. 221)
Unique sites:
Pb 0.0000 0.0000 0.0000 (multiplicity 1)
Cl 0.0000 0.0000 0.5000 (multiplicity 3)

***

[6]
Entry from Alexandria: crystalline PbCl3 at its relaxed geometry (PBEsol).

- formation energy without anion corrections (eV/f.u.) = -3.1
- total moment (μB per atom) = 0.000
- calculated total energy (eV per atom) = -3.283

abc: 4.3186 5.2509 9.5302
angles: 90.00 90.00 90.00
Space group Pmmn (No. 59, origin choice 2)
Unique sites:
Pb 0.2500 0.2500 0.1751 (multiplicity 2)
Cl 0.2500 0.0043 0.6633 (multiplicity 4)
Cl 0.2500 0.7500 0.0366 (multiplicity 2)

***

> Among the records above, which one has the lowest calculated total energy?

PaCl4